[1]
The following is a PBE calculation of crystalline CaSiBi at its relaxed geometry, from Alexandria.

Crystal system: monoclinic
M_tot, μB per formula unit: 0.00
Formation energy (no corrections), meV per atom: -293.9

Cell: 11.1850 4.1068 8.1699 Å, 90.00 109.72 90.00°
Last column: nearest neighbours and their distance in Å.
Atoms (fractional coordinates):
Ca 0.1693 0.0000 0.2829  4 Si 3.07-3.37, 3 Bi 3.25-3.35
Ca 0.3307 0.5000 0.7171  4 Si 3.07-3.37, 3 Bi 3.25-3.35
Ca 0.6693 0.5000 0.2829  4 Si 3.07-3.37, 3 Bi 3.25-3.35
Ca 0.8307 0.0000 0.7171  4 Si 3.07-3.37, 3 Bi 3.25-3.35
Si 0.0989 0.0000 0.6155  1 Si 2.37
Si 0.4011 0.5000 0.3845  1 Si 2.37
Si 0.5989 0.5000 0.6155  1 Si 2.37
Si 0.9011 0.0000 0.3845  1 Si 2.37
Bi 0.0822 0.5000 0.8372  2 Si 2.79
Bi 0.4178 0.0000 0.1628  2 Si 2.79
Bi 0.5822 0.0000 0.8372  2 Si 2.79
Bi 0.9178 0.5000 0.1628  2 Si 2.79



[2]
The following is a PBE calculation of crystalline CaSi2Bi at its relaxed geometry, from Alexandria.

Crystal system: monoclinic
M_tot, μB per formula unit: 0.00
Formation energy (no corrections), meV per atom: -179.2

Cell: 5.0611 3.6045 11.0013 Å, 90.00 98.22 90.00°
Last column: nearest neighbours and their distance in Å.
Atoms (fractional coordinates):
Ca 0.2173 0.2500 0.2454  5 Si 3.03-3.33
Ca 0.7827 0.7500 0.7546  5 Si 3.03-3.33
Si 0.1792 0.7500 0.9893  5 Si 2.44-2.59
Si 0.3699 0.2500 0.8806  3 Si 2.44-2.51
Si 0.6301 0.7500 0.1194  3 Si 2.44-2.51
Si 0.8208 0.2500 0.0107  5 Si 2.44-2.59
Bi 0.2422 0.2500 0.6270  1 Si 2.77
Bi 0.7578 0.7500 0.3730  1 Si 2.77



[3]
The following is a PBE calculation of crystalline CaSi2Bi at its relaxed geometry, from Alexandria.

Crystal system: orthorhombic
M_tot, μB per formula unit: 0.00
Formation energy (no corrections), meV per atom: -230.5

Cell: 4.5312 15.4558 5.5030 Å, 90.00 90.00 90.00°
Last column: nearest neighbours and their distance in Å.
Atoms (fractional coordinates):
Ca 0.0000 0.0983 0.2500  6 Si 3.16-3.21, 2 Bi 3.46
Ca 0.0000 0.9017 0.7500  6 Si 3.16-3.21, 2 Bi 3.46
Ca 0.5000 0.4017 0.7500  6 Si 3.16-3.21, 2 Bi 3.46
Ca 0.5000 0.5983 0.2500  6 Si 3.16-3.21, 2 Bi 3.46
Si 0.0000 0.2763 0.5322  3 Si 2.40-2.43
Si 0.0000 0.2763 0.9678  3 Si 2.40-2.43
Si 0.0000 0.7237 0.0322  3 Si 2.40-2.43
Si 0.0000 0.7237 0.4678  3 Si 2.40-2.43
Si 0.5000 0.2237 0.0322  3 Si 2.40-2.43
Si 0.5000 0.2237 0.4678  3 Si 2.40-2.43
Si 0.5000 0.7763 0.5322  3 Si 2.40-2.43
Si 0.5000 0.7763 0.9678  3 Si 2.40-2.43
Bi 0.0000 0.4287 0.2500  2 Si 2.82
Bi 0.0000 0.5713 0.7500  2 Si 2.82
Bi 0.5000 0.0713 0.7500  2 Si 2.82
Bi 0.5000 0.9287 0.2500  2 Si 2.82



[4]
The following is a PBE calculation of crystalline Ca5SmBi5 at its relaxed geometry, from Alexandria.

Crystal system: monoclinic
M_tot, μB per formula unit: 0.00
Formation energy, meV per atom: -681

Cell: 8.2238 8.2238 9.0013 Å, 106.21 106.21 45.93°
Last column: nearest neighbours and their distance in Å.
Atoms (fractional coordinates):
Ca 0.0000 0.0000 0.0000  4 Bi 3.12-3.25
Ca 0.3193 0.3193 0.1778  5 Bi 3.17-3.33
Ca 0.3198 0.3198 0.6426  5 Bi 3.21-3.35
Ca 0.6802 0.6802 0.3574  5 Bi 3.21-3.35
Ca 0.6807 0.6807 0.8222  5 Bi 3.17-3.33
Sm 0.0000 0.0000 0.5000  6 Bi 3.19-3.26
Bi 0.1529 0.1529 0.3225  5 Ca 3.12-3.24, 1 Sm 3.19
Bi 0.1626 0.1626 0.8338  5 Ca 3.23-3.33, 1 Sm 3.26
Bi 0.5000 0.5000 0.5000  2 Sm 3.21, 4 Ca 3.33-3.35
Bi 0.8374 0.8374 0.1662  5 Ca 3.23-3.33, 1 Sm 3.26
Bi 0.8471 0.8471 0.6775  5 Ca 3.12-3.24, 1 Sm 3.19



Copy entry 2 word for word.
The following is a PBE calculation of crystalline CaSi2Bi at its relaxed geometry, from Alexandria.

Crystal system: monoclinic
M_tot, μB per formula unit: 0.00
Formation energy (no corrections), meV per atom: -179.2

Cell: 5.0611 3.6045 11.0013 Å, 90.00 98.22 90.00°
Last column: nearest neighbours and their distance in Å.
Atoms (fractional coordinates):
Ca 0.2173 0.2500 0.2454  5 Si 3.03-3.33
Ca 0.7827 0.7500 0.7546  5 Si 3.03-3.33
Si 0.1792 0.7500 0.9893  5 Si 2.44-2.59
Si 0.3699 0.2500 0.8806  3 Si 2.44-2.51
Si 0.6301 0.7500 0.1194  3 Si 2.44-2.51
Si 0.8208 0.2500 0.0107  5 Si 2.44-2.59
Bi 0.2422 0.2500 0.6270  1 Si 2.77
Bi 0.7578 0.7500 0.3730  1 Si 2.77